Record 1
The following is a PBE calculation of a relaxed structure of Nd7Sm2Dy2, from Alexandria via LeMat-Bulk. Values from VASP.

The structure in Quantum ESPRESSO input format:
```
&SYSTEM
  ibrav = 0, nat = 11, ntyp = 3
/
ATOMIC_SPECIES
Dy 162.50 Dy.upf
Nd 144.24 Nd.upf
Sm 150.36 Sm.upf
CELL_PARAMETERS angstrom
8.1953 0.9505 1.3716
0.3760 6.7692 1.4669
0.3760 -1.0036 6.8532
ATOMIC_POSITIONS crystal
Dy 0.5000 0.2099 0.7901
Dy 0.5000 0.7901 0.2099
Nd 0.5300 0.2776 0.2776
Nd 0.8221 0.9033 0.4990
Nd 0.0000 0.0000 0.0000
Nd 0.1779 0.5010 0.0967
Nd 0.1779 0.0967 0.5010
Nd 0.8221 0.4990 0.9033
Nd 0.4700 0.7224 0.7224
Sm 0.8200 0.4219 0.4219
Sm 0.1800 0.5781 0.5781
```

The calculation puts the total moment at 0.00 μB per atom. The formation energy is 0.163 eV/atom. Its distance to the lowest polymorph of the same formula is 0.054 eV per atom. The value obtained for the mass density is 7.0 g/cm³. Its space group is C2/m.

Record 2
The following is a PBE calculation of a relaxed structure of Li3SnP2O8, from Alexandria via LeMat-Bulk. Values from VASP.

The structure in Quantum ESPRESSO input format:
```
&SYSTEM
  ibrav = 0, nat = 42, ntyp = 4
/
ATOMIC_SPECIES
O 16.00 O.upf
P 30.97 P.upf
Li 6.94 Li.upf
Sn 118.71 Sn.upf
CELL_PARAMETERS angstrom
8.5004 0.0000 0.0000
-4.2502 7.3615 0.0000
0.0000 0.0000 7.8021
ATOMIC_POSITIONS crystal
O 0.2327 0.1418 0.7292
P 0.3686 0.0427 0.2437
O 0.5363 0.4250 0.7663
P 0.0252 0.6770 0.7474
Li 0.6688 0.6554 0.6323
O 0.5969 0.8470 0.9048
O 0.2903 0.4309 0.5832
O 0.7387 0.5658 0.0843
Sn 0.6667 0.3333 0.9407
O 0.4342 0.1728 0.0843
P 0.6741 0.6314 0.2437
O 0.4292 0.1574 0.4093
O 0.1575 0.9341 0.2414
O 0.9090 0.7673 0.7292
O 0.2502 0.4031 0.9048
O 0.8426 0.2718 0.4093
O 0.8272 0.2613 0.0843
Li 0.3072 0.3267 0.3600
O 0.1530 0.7498 0.9048
O 0.8887 0.4637 0.7663
O 0.4401 0.9060 0.2402
O 0.5691 0.8594 0.5832
P 0.6519 0.9748 0.7474
O 0.5750 0.1113 0.7663
Li 0.9866 0.3312 0.6323
O 0.0940 0.5341 0.2402
Li 0.3446 0.0134 0.6323
Li 0.3333 0.6667 0.4951
O 0.7282 0.5708 0.4093
O 0.0659 0.2234 0.2414
Li 0.0195 0.6928 0.3600
Li 0.0000 0.0000 0.6499
Sn 0.0000 0.0000 0.0495
O 0.4659 0.5599 0.2402
O 0.1406 0.7097 0.5832
O 0.7766 0.8425 0.2414
P 0.9573 0.3259 0.2437
P 0.3230 0.3481 0.7474
Li 0.6667 0.3333 0.4972
O 0.8582 0.0910 0.7292
Li 0.6733 0.9805 0.3600
Sn 0.3333 0.6667 0.0409
```

The calculation puts the total moment at 0.02 μB per atom. The value obtained for the mass density is 3.4 g/cm³. Its space group is P3. The uncorrected formation energy is -2159 meV per atom.

Record 3
The following is a PBE calculation of a relaxed structure of PrSmTeAs, from Alexandria via LeMat-Bulk. Values from VASP.

The structure in Quantum ESPRESSO input format:
```
&SYSTEM
  ibrav = 0, nat = 4, ntyp = 4
/
ATOMIC_SPECIES
Pr 140.91 Pr.upf
Sm 150.36 Sm.upf
Te 127.60 Te.upf
As 74.92 As.upf
CELL_PARAMETERS angstrom
-2.5011 -3.4031 0.6642
4.2327 -0.4939 -0.3525
0.9847 3.3524 7.1310
ATOMIC_POSITIONS crystal
Pr 0.4905 0.1432 0.6489
Sm 0.1139 0.9549 0.0841
Te 0.9642 0.3802 0.3594
As 0.3094 0.5526 0.8773
```

The calculation puts the total moment at 0.00 μB per atom. The value obtained for the mass density is 6.9 g/cm³. Its space group is R3m. The uncorrected formation energy is -1507 meV per atom.

Record 4
The following is a PBE calculation of a relaxed structure of NbNiSb2Te, from Alexandria via LeMat-Bulk. Values from VASP.

The structure in Quantum ESPRESSO input format:
```
&SYSTEM
  ibrav = 0, nat = 5, ntyp = 4
/
ATOMIC_SPECIES
Te 127.60 Te.upf
Sb 121.76 Sb.upf
Nb 92.91 Nb.upf
Ni 58.69 Ni.upf
CELL_PARAMETERS angstrom
-0.4799 3.3527 4.1273
-0.7365 -4.1460 3.2823
5.2302 -0.2724 0.8294
ATOMIC_POSITIONS crystal
Te 0.0000 0.0000 0.5000
Sb 0.5000 0.0000 0.0000
Nb 0.0000 0.0000 0.0000
Ni 0.5000 0.5000 0.5000
Sb 0.0000 0.5000 0.0000
```

The calculation puts the total moment at 0.15 μB per atom. Its distance to the lowest polymorph of the same formula is 0.150 eV per atom. The value obtained for the mass density is 5.7 g/cm³. Its space group is P4/mmm. The uncorrected formation energy is 845 meV per atom.

Record 5
The following is a PBE calculation of a relaxed structure of Rb2Sc2MnS6, from Alexandria via LeMat-Bulk. Values from VASP.

The structure in Quantum ESPRESSO input format:
```
&SYSTEM
  ibrav = 0, nat = 11, ntyp = 4
/
ATOMIC_SPECIES
S 32.06 S.upf
Rb 85.47 Rb.upf
Sc 44.96 Sc.upf
Mn 54.94 Mn.upf
CELL_PARAMETERS angstrom
-0.9228 -4.1482 -4.7311
4.6405 -1.0349 4.2233
-6.2850 -2.1787 4.6623
ATOMIC_POSITIONS crystal
S 0.6268 0.9360 0.3240
S 0.0640 0.3732 0.6760
Rb 0.1714 0.8286 0.0000
S 0.7509 0.7509 0.6741
Rb 0.8286 0.1714 0.0000
Sc 0.6675 0.3325 0.5000
S 0.2491 0.2491 0.3259
Sc 0.3325 0.6675 0.5000
Mn 0.0000 0.0000 0.5000
S 0.9360 0.6268 0.3240
S 0.3732 0.0640 0.6760
```

The calculation puts the total moment at 0.27 μB per atom. The value obtained for the mass density is 3.1 g/cm³. Its space group is C2/m. The uncorrected formation energy is -1382 meV per atom.

Record 6
The following is a PBE calculation of a relaxed structure of La3Mg5O12, from Alexandria via LeMat-Bulk. Values from VASP.

The structure in Quantum ESPRESSO input format:
```
&SYSTEM
  ibrav = 0, nat = 80, ntyp = 3
/
ATOMIC_SPECIES
O 16.00 O.upf
Mg 24.30 Mg.upf
La 138.91 La.upf
CELL_PARAMETERS angstrom
-9.9545 -2.9900 -4.3031
5.9551 -9.2272 2.4383
-1.6182 6.0044 9.3743
ATOMIC_POSITIONS crystal
O 0.4685 0.6775 0.0923
Mg 0.2500 0.3750 0.6250
O 0.7090 0.1238 0.0315
O 0.8762 0.2910 0.4685
O 0.9077 0.8225 0.5315
O 0.9685 0.5923 0.1775
O 0.2090 0.5315 0.6238
O 0.6238 0.0315 0.2090
O 0.7910 0.4685 0.3762
O 0.4148 0.1238 0.5923
Mg 0.3750 0.1250 0.7500
Mg 0.5000 0.0000 0.5000
La 0.2500 0.1250 0.3750
O 0.9077 0.0852 0.8762
O 0.6238 0.5923 0.9148
La 0.8750 0.1250 0.2500
Mg 0.6250 0.7500 0.8750
Mg 0.8750 0.2500 0.6250
O 0.3225 0.5315 0.4077
La 0.1250 0.8750 0.7500
Mg 0.7500 0.6250 0.3750
O 0.5923 0.9685 0.6775
O 0.4077 0.0315 0.3225
Mg 0.5000 0.5000 0.5000
La 0.7500 0.3750 0.1250
La 0.1250 0.2500 0.8750
O 0.3225 0.7910 0.4148
O 0.0852 0.1775 0.2090
Mg 0.8750 0.6250 0.7500
La 0.8750 0.7500 0.1250
O 0.0923 0.9148 0.1238
Mg 0.5000 0.5000 0.0000
O 0.5852 0.7090 0.6775
O 0.7090 0.5852 0.1775
O 0.1238 0.4148 0.0923
Mg 0.0000 0.5000 0.0000
Mg 0.0000 0.0000 0.0000
O 0.8225 0.9148 0.2910
O 0.0852 0.9077 0.3762
O 0.5923 0.6238 0.4148
O 0.0315 0.4077 0.8225
O 0.2910 0.8762 0.9685
O 0.8762 0.5852 0.9077
O 0.0923 0.1775 0.4685
Mg 0.0000 0.5000 0.5000
La 0.7500 0.8750 0.6250
O 0.9685 0.3762 0.2910
Mg 0.5000 0.0000 0.0000
O 0.1775 0.0852 0.7090
Mg 0.7500 0.1250 0.8750
Mg 0.3750 0.2500 0.1250
Mg 0.0000 0.0000 0.5000
O 0.3762 0.4077 0.0852
La 0.6250 0.2500 0.3750
O 0.1775 0.0923 0.9685
O 0.7910 0.3225 0.9148
O 0.5315 0.2090 0.1238
Mg 0.2500 0.8750 0.1250
O 0.3762 0.9685 0.7910
O 0.0315 0.6238 0.7090
La 0.3750 0.6250 0.2500
La 0.6250 0.3750 0.7500
O 0.5315 0.3225 0.9077
O 0.4077 0.3762 0.5852
O 0.2090 0.6775 0.0852
Mg 0.6250 0.8750 0.2500
O 0.1238 0.7090 0.5315
O 0.5852 0.8762 0.4077
O 0.4685 0.7910 0.8762
O 0.9148 0.8225 0.7910
O 0.6775 0.4685 0.5923
O 0.6775 0.2090 0.5852
Mg 0.1250 0.7500 0.3750
La 0.2500 0.6250 0.8750
O 0.8225 0.9077 0.0315
La 0.3750 0.7500 0.6250
O 0.2910 0.4148 0.8225
O 0.9148 0.0923 0.6238
Mg 0.1250 0.3750 0.2500
O 0.4148 0.2910 0.3225
```

The calculation puts the total moment at 0.25 μB per atom. The value obtained for the mass density is 4.4 g/cm³. Its space group is Ia-3d. The uncorrected formation energy is -2356 meV per atom.

Record 7
The following is a PBE calculation of a relaxed structure of Hg3GeOs, from Alexandria via LeMat-Bulk. Values from VASP.

The structure in Quantum ESPRESSO input format:
```
&SYSTEM
  ibrav = 0, nat = 5, ntyp = 3
/
ATOMIC_SPECIES
Os 190.23 Os.upf
Ge 72.64 Ge.upf
Hg 200.59 Hg.upf
CELL_PARAMETERS angstrom
-2.1883 1.8933 -4.3495
-4.6817 -1.6340 1.6442
-0.7646 4.5866 2.3812
ATOMIC_POSITIONS crystal
Os 0.0000 0.0000 0.0000
Ge 0.5000 0.5000 0.5000
Hg 0.0000 0.0000 0.5000
Hg 0.0000 0.5000 0.0000
Hg 0.5000 0.0000 0.0000
```

The calculation puts the total moment at 0.21 μB per atom. The formation energy is 1.035 eV/atom. Its distance to the lowest polymorph of the same formula is 0.000 eV per atom. The value obtained for the mass density is 10.1 g/cm³. Its space group is Pm-3m.

Record 8
The following is a PBE calculation of a relaxed structure of NdTmCoI, from Alexandria via LeMat-Bulk. Values from VASP.

The structure in Quantum ESPRESSO input format:
```
&SYSTEM
  ibrav = 0, nat = 4, ntyp = 4
/
ATOMIC_SPECIES
Tm 168.93 Tm.upf
Nd 144.24 Nd.upf
I 126.90 I.upf
Co 58.93 Co.upf
CELL_PARAMETERS angstrom
3.9768 0.0002 0.0000
-1.9874 3.4428 0.0002
-1.9880 -1.1466 7.9759
ATOMIC_POSITIONS crystal
Tm 0.0898 0.9429 0.0477
Nd 0.5174 0.1566 0.6894
I 0.9621 0.3792 0.3566
Co 0.3086 0.5521 0.8760
```

The calculation puts the total moment at 0.00 μB per atom. The value obtained for the mass density is 7.6 g/cm³. Its space group is R3m. The uncorrected formation energy is -556 meV per atom.